{
  "formula": "Ba2ReTc",
  "functional": "GGA-PBE",
  "state": "optimized geometry",
  "cell": [[4.288, 0.000, 0.000], [0.000, 4.266, 0.000], [0.000, 0.000, 5.460]],
  "species": ["Tc", "Re", "Ba", "Ba"],
  "frac_coords": [[0.000, 0.500, 0.500], [0.500, 0.000, 0.500], [0.500, 0.500, 0.000], [0.000, 0.000, 0.000]],
  "formation_energy_mev_per_atom": 1568,
  "crystal_system": "orthorhombic"
}